DFT (meta-GGA SCAN) results for a PBEsol-optimized structure of RuRh2Br.

Summary:
energy relative to the lowest polymorph listed for this composition	0	meV/atom
total energy	-30.016	eV per atom
uncorrected formation energy	0.441	eV per atom
N(E_F)	3.62	states/eV/f.u.

a = 2.751 Å, b = 3.497 Å, c = 6.777 Å
α = 90.00°, β = 90.00°, γ = 90.00°
Space group Pmmm (No. 47)
Inequivalent atoms, fractional coordinates:
Ru: 0.000 0.000 0.000 (multiplicity 1)
Rh: 0.500 0.500 0.194 (multiplicity 2)
Br: 0.500 0.000 0.500 (multiplicity 1)

***

DFT (meta-GGA SCAN) results for a PBEsol-optimized structure of RuRhBr2.

Summary:
energy relative to the lowest polymorph listed for this composition	0	meV/atom
total energy	-26.502	eV per atom
uncorrected formation energy	0.377	eV per atom
N(E_F)	1.16	states/eV/f.u.

a = 3.043 Å, b = 3.043 Å, c = 8.004 Å
α = 90.00°, β = 90.00°, γ = 90.00°
Space group P4mm (No. 99)
Inequivalent atoms, fractional coordinates:
Ru: 0.000 0.000 0.000 (multiplicity 1)
Rh: 0.500 0.500 0.817 (multiplicity 1)
Br: 0.000 0.000 0.602 (multiplicity 1)
Br: 0.500 0.500 0.213 (multiplicity 1)

***

DFT (meta-GGA SCAN) results for a PBEsol-optimized structure of RuRhSe2Br.

Summary:
total energy	-24.780	eV per atom
uncorrected formation energy	0.863	eV per atom
N(E_F)	4.40	states/eV/f.u.

a = 4.754 Å, b = 4.754 Å, c = 4.917 Å
α = 90.00°, β = 90.00°, γ = 90.00°
Space group P4/mmm (No. 123)
Inequivalent atoms, fractional coordinates:
Ru: 0.000 0.000 0.000 (multiplicity 1)
Rh: 0.500 0.500 0.500 (multiplicity 1)
Se: 0.000 0.500 0.500 (multiplicity 2)
Br: 0.500 0.500 0.000 (multiplicity 1)

***

DFT (meta-GGA SCAN) results for a PBEsol-optimized structure of RhS2Br.

Summary:
total energy	-18.527	eV per atom
uncorrected formation energy	-0.405	eV per atom

a = 3.6077 Å, b = 3.6077 Å, c = 21.1886 Å
α = 90.00°, β = 90.00°, γ = 120.00°
Space group R-3m (No. 166, hexagonal axes)
Inequivalent atoms, fractional coordinates:
Rh: 0.0000 0.0000 0.0000 (multiplicity 3)
S: 0.0000 0.0000 0.3852 (multiplicity 6)
Br: 0.0000 0.0000 0.5000 (multiplicity 3)

***

DFT (meta-GGA SCAN) results for a PBEsol-optimized structure of Rh3SBr.

Summary:
total energy	-24.746	eV per atom
uncorrected formation energy	1.334	eV per atom
N(E_F)	7.49	states/eV/f.u.

a = 4.525 Å, b = 4.525 Å, c = 4.525 Å
α = 90.00°, β = 90.00°, γ = 90.00°
Space group Pm-3m (No. 221)
Inequivalent atoms, fractional coordinates:
Rh: 0.000 0.000 0.500 (multiplicity 3)
S: 0.500 0.500 0.500 (multiplicity 1)
Br: 0.000 0.000 0.000 (multiplicity 1)

***

DFT (meta-GGA SCAN) results for a PBEsol-optimized structure of Zr2SbRhBr.

Summary:
total energy	-29.432	eV per atom
uncorrected formation energy	0.946	eV per atom
N(E_F)	2.71	states/eV/f.u.

a = 4.794 Å, b = 4.794 Å, c = 5.268 Å
α = 90.00°, β = 90.00°, γ = 90.00°
Space group P4/mmm (No. 123)
Inequivalent atoms, fractional coordinates:
Zr: 0.000 0.500 0.000 (multiplicity 2)
Sb: 0.000 0.000 0.500 (multiplicity 1)
Rh: 0.500 0.500 0.500 (multiplicity 1)
Br: 0.000 0.000 0.000 (multiplicity 1)

***

DFT (meta-GGA SCAN) results for a PBEsol-optimized structure of ScRhBr2.

Summary:
total energy	-22.038	eV per atom
uncorrected formation energy	-0.306	eV per atom
N(E_F)	3.23	states/eV/f.u.

a = 4.492 Å, b = 4.492 Å, c = 3.503 Å
α = 90.00°, β = 90.00°, γ = 90.00°
Space group P4/mmm (No. 123)
Inequivalent atoms, fractional coordinates:
Sc: 0.000 0.000 0.000 (multiplicity 1)
Rh: 0.500 0.500 0.000 (multiplicity 1)
Br: 0.000 0.500 0.500 (multiplicity 2)

***

DFT (meta-GGA SCAN) results for a PBEsol-optimized structure of Sc3RhBr.

Summary:
total energy	-19.606	eV per atom
uncorrected formation energy	-0.417	eV per atom
N(E_F)	4.97	states/eV/f.u.

a = 5.003 Å, b = 5.003 Å, c = 5.003 Å
α = 90.00°, β = 90.00°, γ = 90.00°
Space group Pm-3m (No. 221)
Inequivalent atoms, fractional coordinates:
Sc: 0.000 0.000 0.500 (multiplicity 3)
Rh: 0.000 0.000 0.000 (multiplicity 1)
Br: 0.500 0.500 0.500 (multiplicity 1)

***

DFT (meta-GGA SCAN) results for a PBEsol-optimized structure of ScRh2Br.

Summary:
energy relative to the lowest polymorph listed for this composition	0	meV/atom
total energy	-25.753	eV per atom
uncorrected formation energy	-0.443	eV per atom
N(E_F)	2.37	states/eV/f.u.

a = 3.292 Å, b = 3.397 Å, c = 6.808 Å
α = 90.00°, β = 90.00°, γ = 90.00°
Space group Pmm2 (No. 25)
Inequivalent atoms, fractional coordinates:
Sc: 0.000 0.000 0.000 (multiplicity 1)
Rh: 0.000 0.000 0.638 (multiplicity 1)
Rh: 0.500 0.500 0.767 (multiplicity 1)
Br: 0.500 0.500 0.242 (multiplicity 1)

***

DFT (meta-GGA SCAN) results for a PBEsol-optimized structure of ScRh2Br.

Summary:
energy relative to the lowest polymorph listed for this composition	255	meV/atom
total energy	-25.497	eV per atom
uncorrected formation energy	-0.187	eV per atom
N(E_F)	1.34	states/eV/f.u.

a = 3.270 Å, b = 4.295 Å, c = 9.070 Å
α = 90.00°, β = 90.00°, γ = 90.00°
Space group Imm2 (No. 44)
Inequivalent atoms, fractional coordinates:
Sc: 0.000 0.000 0.000 (multiplicity 2)
Rh: 0.000 0.000 0.521 (multiplicity 2)
Rh: 0.000 0.500 0.765 (multiplicity 2)
Br: 0.000 0.500 0.248 (multiplicity 2)

***

DFT (meta-GGA SCAN) results for a PBEsol-optimized structure of ScRh2Br.

Summary:
energy relative to the lowest polymorph listed for this composition	168	meV/atom
total energy	-25.584	eV per atom
uncorrected formation energy	-0.274	eV per atom
N(E_F)	2.95	states/eV/f.u.

a = 3.091 Å, b = 4.564 Å, c = 8.962 Å
α = 90.00°, β = 90.00°, γ = 90.00°
Space group Immm (No. 71)
Inequivalent atoms, fractional coordinates:
Sc: 0.000 0.000 0.000 (multiplicity 2)
Rh: 0.000 0.500 0.240 (multiplicity 4)
Br: 0.000 0.000 0.500 (multiplicity 2)

***

DFT (meta-GGA SCAN) results for a PBEsol-optimized structure of Rh2SeBr.

Summary:
energy relative to the lowest polymorph listed for this composition	0	meV/atom
total energy	-26.762	eV per atom
uncorrected formation energy	0.008	eV per atom
N(E_F)	2.84	states/eV/f.u.

a = 3.8733 Å, b = 3.8733 Å, c = 16.6139 Å
α = 90.00°, β = 90.00°, γ = 120.00°
Space group R-3m (No. 166, hexagonal axes)
Inequivalent atoms, fractional coordinates:
Rh: 0.0000 0.0000 0.2221 (multiplicity 6)
Se: 0.0000 0.0000 0.5000 (multiplicity 3)
Br: 0.0000 0.0000 0.0000 (multiplicity 3)

***

DFT (meta-GGA SCAN) results for a PBEsol-optimized structure of RhSeBr.

Summary:
total energy	-25.003	eV per atom
uncorrected formation energy	-0.566	eV per atom

a = 3.5678 Å, b = 3.5678 Å, c = 5.9997 Å
α = 90.00°, β = 90.00°, γ = 120.00°
Space group P3m1 (No. 156)
Inequivalent atoms, fractional coordinates:
Rh: 0.0000 0.0000 0.0000 (multiplicity 1)
Se: 0.3333 0.6667 0.7902 (multiplicity 1)
Br: 0.6667 0.3333 0.2632 (multiplicity 1)

***

DFT (meta-GGA SCAN) results for a PBEsol-optimized structure of RhSeBr.

Summary:
total energy	-23.499	eV per atom
uncorrected formation energy	0.937	eV per atom
N(E_F)	2.52	states/eV/f.u.

a = 6.303 Å, b = 6.303 Å, c = 6.303 Å
α = 90.00°, β = 90.00°, γ = 90.00°
Space group F-43m (No. 216)
Inequivalent atoms, fractional coordinates:
Rh: 0.000 0.000 0.000 (multiplicity 4)
Se: 0.250 0.250 0.250 (multiplicity 4)
Br: 0.000 0.000 0.500 (multiplicity 4)

***

DFT (meta-GGA SCAN) results for a PBEsol-optimized structure of Rh2SeBr.

Summary:
energy relative to the lowest polymorph listed for this composition	420	meV/atom
total energy	-26.342	eV per atom
uncorrected formation energy	0.428	eV per atom
N(E_F)	3.65	states/eV/f.u.

a = 4.459 Å, b = 4.459 Å, c = 3.139 Å
α = 90.00°, β = 90.00°, γ = 90.00°
Space group P4/mmm (No. 123)
Inequivalent atoms, fractional coordinates:
Rh: 0.000 0.500 0.000 (multiplicity 2)
Se: 0.000 0.000 0.500 (multiplicity 1)
Br: 0.500 0.500 0.500 (multiplicity 1)